Entry from the Alexandria database: a relaxed Ta6MnMo3 crystal (GGA-PBE).

The formation energy comes out at -1.4 eV per formula unit. For the density of states at the Fermi level, the calculation gives 0.79 states/eV per atom. The volume comes out at 16.693 Å³/atom.

a = 7.885 Å, b = 4.555 Å, c = 9.654 Å
α = 90.00°, β = 105.66°, γ = 90.00°
Space group P2_1/m (No. 11)
Unique sites:
Ta 0.044 0.250 0.399 x2
Ta 0.147 0.750 0.194 x2
Ta 0.259 0.250 0.997 x2
Ta 0.350 0.250 0.298 x2
Ta 0.353 0.750 0.810 x2
Ta 0.447 0.250 0.606 x2
Mn 0.450 0.750 0.097 x2
Mo 0.050 0.750 0.900 x2
Mo 0.152 0.250 0.702 x2
Mo 0.254 0.750 0.500 x2